Entry 1:
Here is CsCoS2 after structural relaxation from Alexandria via LeMat-Bulk. Energies are from PBE.

Unit cell a=8.718 b=8.718 c=8.718 alpha=23.63 beta=23.63 gamma=23.63
Fractional coordinates of all 4 atoms:
Cs: 0.000 0.000 0.000
Co: 0.500 0.500 0.500
S: 0.125 0.125 0.125
S: 0.875 0.875 0.875

## Properties
The value obtained for the uncorrected formation energy is -249 meV per atom. As for the total energy: -0.1581 Ha/atom. The total magnetization is 0.00 μB per formula unit.

=====

Entry 2:
Here is Tl3Cu2Br6 after structural relaxation from Alexandria via LeMat-Bulk. Energies are from PBE.

Unit cell a=14.217 b=14.217 c=14.217 alpha=159.78 beta=159.78 gamma=28.75
Fractional coordinates of all 11 atoms:
Tl: 0.000 0.000 0.000
Tl: 0.182 0.182 0.000
Tl: 0.818 0.818 0.000
Cu: 0.395 0.395 0.000
Cu: 0.605 0.605 0.000
Br: 0.085 0.585 0.500
Br: 0.302 0.302 0.000
Br: 0.415 0.915 0.500
Br: 0.585 0.085 0.500
Br: 0.698 0.698 0.000
Br: 0.915 0.415 0.500

## Properties
The value obtained for the uncorrected formation energy is -587 meV per atom. As for the total energy: -0.1062 Ha/atom. The total magnetization is 0.00 μB per formula unit.

=====

Entry 3:
Here is Be3Ag after structural relaxation from Alexandria via LeMat-Bulk. Energies are from PBE.

Unit cell a=4.503 b=4.503 c=4.503 alpha=142.40 beta=129.34 gamma=64.77
Fractional coordinates of all 4 atoms:
Be: 0.000 0.000 0.000
Be: 0.239 0.739 0.500
Be: 0.761 0.261 0.500
Ag: 0.500 0.500 0.000

## Properties
As for the total energy: -0.1216 Ha/atom. The total magnetization is 0.00 μB per formula unit.

=====

| no. | Fermi-level density of states (states/eV/cell) |
| --- | --- |
| 1 | 4.5 |
| 2 | 6.3 |
| 3 | 0.8 |